Record 1
A plane-wave DFT calculation with PBE was carried out for crystalline LiInNi3 at its relaxed geometry.

Values from the calculation:
Fermi-level density of states (states/eV/atom): 0.460
Offset from the most stable computed form (meV/atom): 544
Density (g/cm³): 4.7
Calculated total energy (eV per atom): -3.4176

```
data_LiInNi3
_symmetry_space_group_name_H-M 'P m -3 m'
_symmetry_Int_Tables_number 221
_symmetry_space_group_name_Hall '-P 4 2 3'
_cell_length_a 4.7368
_cell_length_b 4.7368
_cell_length_c 4.7368
_cell_angle_alpha 90.00
_cell_angle_beta 90.00
_cell_angle_gamma 90.00
loop_
_atom_site_label
_atom_site_type_symbol
_atom_site_fract_x
_atom_site_fract_y
_atom_site_fract_z
Li1 Li 0.0000 0.0000 0.0000
In1 In 0.5000 0.5000 0.5000
Ni1 Ni 0.0000 0.5000 0.5000
```

---

Record 2
A plane-wave DFT calculation with PBE was carried out for crystalline YGa2Au8 at its relaxed geometry.

Values from the calculation:
Fermi-level density of states (states/eV/atom): 0.336
Offset from the most stable computed form (meV/atom): 33
Density (g/cm³): 13.8
Calculated total energy (eV per atom): -3.8048

```
data_YGa2Au8
_symmetry_space_group_name_H-M 'C 1 2/m 1'
_symmetry_Int_Tables_number 12
_cell_length_a 8.6577
_cell_length_b 11.4578
_cell_length_c 4.5072
_cell_angle_alpha 90.00
_cell_angle_beta 104.63
_cell_angle_gamma 90.00
loop_
_symmetry_equiv_pos_as_xyz
'x,y,z'
'-x,-y,-z'
'-x,y,-z'
'x,-y,z'
'x+1/2,y+1/2,z'
'-x+1/2,-y+1/2,-z'
'-x+1/2,y+1/2,-z'
'x+1/2,-y+1/2,z'
loop_
_atom_site_label
_atom_site_type_symbol
_atom_site_fract_x
_atom_site_fract_y
_atom_site_fract_z
Y1 Y 0.0000 0.0000 0.0000
Ga1 Ga 0.0000 0.3677 0.5000
Au1 Au 0.0000 0.2574 0.0000
Au2 Au 0.1581 0.5000 0.9441
Au3 Au 0.1771 0.1385 0.5633
```